{
  "formula": "CeZrP",
  "functional": "PBE",
  "state": "optimized geometry",
  "cell": [[4.4473, 0.0000, 0.0000], [-2.2237, 3.8515, 0.0000], [0.0000, 0.0000, 3.9992]],
  "species": ["Ce", "Zr", "P"],
  "fractional_positions": [[0.0000, 0.0000, 0.0000], [0.6667, 0.3333, 0.5000], [0.3333, 0.6667, 0.5000]],
  "total_energy_ev_per_cell": -21.7,
  "dos_at_fermi_per_ev_cell": 6.1,
  "ef_mev_per_atom": -589.7,
  "m_tot_mub_per_cell": 0.002
}

***

{
  "formula": "CeZr2P3",
  "functional": "PBE",
  "state": "optimized geometry",
  "cell": [[-1.9225, 2.7329, 5.7703], [1.9225, -2.7329, 5.7703], [1.9225, 2.7329, -5.7703]],
  "species": ["Ce", "Zr", "Zr", "P", "P", "P"],
  "fractional_positions": [[0.0000, 0.0000, 0.0000], [0.3356, 0.3356, 0.0000], [0.6644, 0.6644, 0.0000], [0.1758, 0.6758, 0.5000], [0.5000, 0.0000, 0.5000], [0.8242, 0.3242, 0.5000]],
  "total_energy_ev_per_cell": -47.6,
  "dos_at_fermi_per_ev_cell": 5.0,
  "ef_mev_per_atom": -1391.6,
  "m_tot_mub_per_cell": 0.001
}